Entry 1:
# DyHoTlPb, relaxed, DFT PBE
data_DyHoTlPb
_chemical_formula_sum 'Dy2 Ho2 Tl2 Pb2'
_cell_length_a 5.006
_cell_length_b 5.006
_cell_length_c 8.787
_cell_angle_alpha 90.00
_cell_angle_beta 90.00
_cell_angle_gamma 90.00
_space_group_name_H-M_alt 'I -4 m 2'
_space_group_IT_number 119
_space_group_name_Hall 'I -4 -2'
loop_
_atom_site_label
_atom_site_type_symbol
_atom_site_fract_x
_atom_site_fract_y
_atom_site_fract_z
_atom_site_occupancy
Dy1 Dy 0.000 0.000 0.000 1
Ho1 Ho 0.000 0.000 0.500 1
Tl1 Tl 0.000 0.500 0.750 1
Pb1 Pb 0.000 0.500 0.250 1
# **Distance to the lowest polymorph of the same formula**: 0.000 kcal/mol of atoms
# **Calculated formation energy**: -0.38 eV per atom



Entry 2:
# TmTl2Cu3F12, relaxed, DFT PBE
data_TmTl2Cu3F12
_chemical_formula_sum 'Tm3 Tl6 Cu9 F36'
_cell_length_a 7.4324
_cell_length_b 7.4324
_cell_length_c 18.3794
_cell_angle_alpha 90.00
_cell_angle_beta 90.00
_cell_angle_gamma 120.00
_space_group_name_H-M_alt 'R -3 m'
_space_group_IT_number 166
_space_group_name_Hall '-R 3 2"'
loop_
_atom_site_label
_atom_site_type_symbol
_atom_site_fract_x
_atom_site_fract_y
_atom_site_fract_z
_atom_site_occupancy
Tm1 Tm 0.0000 0.0000 0.0000 1
Tl1 Tl 0.0000 0.0000 0.3971 1
Cu1 Cu 0.0000 0.5000 0.5000 1
F1 F 0.0471 0.5236 0.6068 1
F2 F 0.0692 0.5346 0.8456 1
# **Energy relative to the elements, uncorrected**: -2.156 eV/atom



Entry 3:
# La4TlHPb, relaxed, DFT PBE
data_La4TlHPb
_chemical_formula_sum 'La16 Tl4 H4 Pb4'
_cell_length_a 6.813
_cell_length_b 18.078
_cell_length_c 6.801
_cell_angle_alpha 90.00
_cell_angle_beta 90.00
_cell_angle_gamma 90.00
_space_group_name_H-M_alt 'C m c m'
_space_group_IT_number 63
_space_group_name_Hall '-C 2c 2'
loop_
_atom_site_label
_atom_site_type_symbol
_atom_site_fract_x
_atom_site_fract_y
_atom_site_fract_z
_atom_site_occupancy
La1 La 0.000 0.068 0.250 1
La2 La 0.000 0.428 0.250 1
La3 La 0.250 0.250 0.000 1
Tl1 Tl 0.000 0.114 0.750 1
H1 H 0.000 0.206 0.250 1
Pb1 Pb 0.000 0.388 0.750 1
# **Electronic total energy**: -4.6264 eV per atom



Entry 4:
# BiTe4O12, relaxed, DFT PBE
data_BiTe4O12
_chemical_formula_sum 'Bi2 Te8 O24'
_cell_length_a 11.136
_cell_length_b 8.012
_cell_length_c 7.824
_cell_angle_alpha 90.00
_cell_angle_beta 133.84
_cell_angle_gamma 90.00
_space_group_name_H-M_alt 'C 1 2/m 1'
_space_group_IT_number 12
loop_
_space_group_symop_operation_xyz
'x,y,z'
'-x,-y,-z'
'-x,y,-z'
'x,-y,z'
'x+1/2,y+1/2,z'
'-x+1/2,-y+1/2,-z'
'-x+1/2,y+1/2,-z'
'x+1/2,-y+1/2,z'
loop_
_atom_site_label
_atom_site_type_symbol
_atom_site_fract_x
_atom_site_fract_y
_atom_site_fract_z
_atom_site_occupancy
Bi1 Bi 0.000 0.000 0.000 1
Te1 Te 0.250 0.250 0.000 1
Te2 Te 0.250 0.250 0.500 1
O1 O 0.007 0.241 0.808 1
O2 O 0.216 0.215 0.725 1
O3 O 0.238 0.000 0.443 1
O4 O 0.248 0.000 0.054 1
# **Energy relative to the elements, uncorrected**: -0.832 eV/atom



Entry 5:
# Co3Ni12Mo, relaxed, DFT PBE
data_Co3Ni12Mo
_chemical_formula_sum 'Co3 Ni12 Mo1'
_cell_length_a 3.555
_cell_length_b 3.555
_cell_length_c 14.182
_cell_angle_alpha 90.00
_cell_angle_beta 90.00
_cell_angle_gamma 90.00
_space_group_name_H-M_alt 'P 4/m m m'
_space_group_IT_number 123
_space_group_name_Hall '-P 4 2'
loop_
_atom_site_label
_atom_site_type_symbol
_atom_site_fract_x
_atom_site_fract_y
_atom_site_fract_z
_atom_site_occupancy
Co1 Co 0.000 0.000 0.000 1
Co2 Co 0.000 0.000 0.243 1
Ni1 Ni 0.000 0.500 0.123 1
Ni2 Ni 0.000 0.500 0.371 1
Ni3 Ni 0.500 0.500 0.000 1
Ni4 Ni 0.500 0.500 0.246 1
Ni5 Ni 0.500 0.500 0.500 1
Mo1 Mo 0.000 0.000 0.500 1
# **Calculated formation energy**: 0.02 eV per atom



Entry 6:
# K2PmYO4, relaxed, DFT PBE
data_K2PmYO4
_chemical_formula_sum 'K2 Pm1 Y1 O4'
_cell_length_a 6.149
_cell_length_b 3.552
_cell_length_c 6.608
_cell_angle_alpha 90.00
_cell_angle_beta 108.03
_cell_angle_gamma 90.00
_space_group_name_H-M_alt 'P 1 2/m 1'
_space_group_IT_number 10
loop_
_space_group_symop_operation_xyz
'x,y,z'
'-x,-y,-z'
'-x,y,-z'
'x,-y,z'
loop_
_atom_site_label
_atom_site_type_symbol
_atom_site_fract_x
_atom_site_fract_y
_atom_site_fract_z
_atom_site_occupancy
K1 K 0.000 0.000 0.000 1
K2 K 0.500 0.500 0.000 1
Pm1 Pm 0.000 0.500 0.500 1
Y1 Y 0.500 0.000 0.500 1
O1 O 0.236 0.000 0.689 1
O2 O 0.277 0.500 0.313 1
# **Energy relative to the elements, uncorrected**: -2.691 eV/atom



Entry 7:
# TmZr2B2Ru5, relaxed, DFT PBE
data_TmZr2B2Ru5
_chemical_formula_sum 'Tm2 Zr4 B4 Ru10'
_cell_length_a 9.623
_cell_length_b 9.623
_cell_length_c 3.156
_cell_angle_alpha 90.00
_cell_angle_beta 90.00
_cell_angle_gamma 90.00
_space_group_name_H-M_alt 'P 4/m b m'
_space_group_IT_number 127
_space_group_name_Hall '-P 4 2ab'
loop_
_atom_site_label
_atom_site_type_symbol
_atom_site_fract_x
_atom_site_fract_y
_atom_site_fract_z
_atom_site_occupancy
Tm1 Tm 0.000 0.000 0.000 1
Zr1 Zr 0.175 0.325 0.000 1
B1 B 0.122 0.622 0.000 1
Ru1 Ru 0.000 0.500 0.500 1
Ru2 Ru 0.073 0.776 0.500 1
# **Calculated formation energy**: -0.52 eV per atom



Entry 8:
# LaTb8Pr5, relaxed, DFT PBE
data_LaTb8Pr5
_chemical_formula_sum 'La2 Tb16 Pr10'
_cell_length_a 17.618
_cell_length_b 3.587
_cell_length_c 17.051
_cell_angle_alpha 90.00
_cell_angle_beta 118.18
_cell_angle_gamma 90.00
_space_group_name_H-M_alt 'C 1 m 1'
_space_group_IT_number 8
loop_
_space_group_symop_operation_xyz
'x,y,z'
'x,-y,z'
'x+1/2,y+1/2,z'
'x+1/2,-y+1/2,z'
loop_
_atom_site_label
_atom_site_type_symbol
_atom_site_fract_x
_atom_site_fract_y
_atom_site_fract_z
_atom_site_occupancy
La1 La 0.000 0.000 0.000 1
Tb1 Tb 0.078 0.500 0.224 1
Tb2 Tb 0.081 0.000 0.723 1
Tb3 Tb 0.147 0.500 0.938 1
Tb4 Tb 0.216 0.500 0.646 1
Tb5 Tb 0.284 0.000 0.354 1
Tb6 Tb 0.353 0.000 0.062 1
Tb7 Tb 0.419 0.500 0.277 1
Tb8 Tb 0.422 0.000 0.776 1
Pr1 Pr 0.000 0.500 0.500 1
Pr2 Pr 0.144 0.000 0.440 1
Pr3 Pr 0.213 0.000 0.144 1
Pr4 Pr 0.286 0.500 0.856 1
Pr5 Pr 0.355 0.500 0.560 1
# **Calculated formation energy**: 0.04 eV per atom



Number 1: M_tot 0.00 μB per atom. Number 2: M_tot 0.21 μB per atom. Number 3: M_tot 0.00 μB per atom. Number 4: M_tot 0.00 μB per atom. Number 5: M_tot 0.68 μB per atom. Number 6: M_tot 0.00 μB per atom. Number 7: M_tot 0.00 μB per atom. Number 8: M_tot 0.00 μB per atom.